Material: Tm2ReGe2WC
Method: DFT, PBE
State: optimized geometry

For the magnetization, the calculation gives 0.0 μB per formula unit. The value obtained for the density is 11.7 g/cm³. The calculated total energy comes out at -112.265 eV/cell.

abc: 10.977 3.851 7.033
angles: 90.00 124.15 90.00
Space group Cm (No. 8)
Unique sites:
Tm 0.000 0.000 0.000 [2 per cell]
Tm 0.138 0.000 0.574 [2 per cell]
Re 0.365 0.000 0.206 [2 per cell]
Ge 0.212 0.500 0.944 [2 per cell]
Ge 0.433 0.000 0.632 [2 per cell]
W 0.273 0.500 0.363 [2 per cell]
C 0.069 0.500 0.285 [2 per cell]

Material: LiCd2Ag
Method: DFT, PBE
State: optimized geometry

As for the energy relative to the lowest polymorph listed for this composition: 0 meV per atom. The value obtained for the density is 7.9 g/cm³. The calculated total energy comes out at -29.415 eV/cell.

abc: 6.596 6.596 6.596
angles: 90.00 90.00 90.00
Space group Fm-3m (No. 225)
Unique sites:
Li 0.000 0.000 0.000 [4 per cell]
Cd 0.250 0.250 0.250 [8 per cell]
Ag 0.000 0.000 0.500 [4 per cell]

Material: NbGaCoCu
Method: DFT, PBE
State: optimized geometry

As for the energy relative to the lowest polymorph listed for this composition: 194 meV per atom. For the magnetization, the calculation gives 0.3 μB per formula unit. The value obtained for the density is 8.7 g/cm³. The calculated total energy comes out at -95.598 eV/cell.

abc: 6.024 6.024 6.024
angles: 90.00 90.00 90.00
Space group F-43m (No. 216)
Unique sites:
Nb 0.000 0.000 0.000 [4 per cell]
Ga 0.250 0.250 0.250 [4 per cell]
Co 0.000 0.000 0.500 [4 per cell]
Cu 0.250 0.250 0.750 [4 per cell]

Material: SrTmNi
Method: DFT, PBE
State: optimized geometry

For the magnetization, the calculation gives 0.0 μB per formula unit. The value obtained for the density is 6.3 g/cm³. The calculated total energy comes out at -38.163 eV/cell.

abc: 6.913 6.913 6.913
angles: 90.00 90.00 90.00
Space group F-43m (No. 216)
Unique sites:
Sr 0.000 0.000 0.000 [4 per cell]
Tm 0.250 0.250 0.750 [4 per cell]
Ni 0.000 0.000 0.500 [4 per cell]